(1)
The following is a GGA-PBE calculation of an optimized crystal structure of TiAsRu2, from the Alexandria database.

The structure in POSCAR format:
```
TiAsRu2
1.0
-3.346 3.346 2.873
3.346 -3.346 2.873
3.346 3.346 -2.873
Ti As Ru
2 2 4
Direct
0.000 0.000 0.000
0.750 0.250 0.500
0.250 0.750 0.500
0.500 0.500 0.000
0.144 0.625 0.019
0.375 0.394 0.519
0.606 0.125 0.981
0.875 0.856 0.481
```

Computed properties:
Final energy in eV per cell: -60.99
DFT formation energy in eV/atom: 0.15



(2)
The following is a GGA-PBE calculation of an optimized crystal structure of Ti4As6Ru7, from the Alexandria database.

The structure in POSCAR format:
```
Ti4As6Ru7
1.0
-4.010 4.010 4.010
4.010 -4.010 4.010
4.010 4.010 -4.010
Ti As Ru
4 6 7
Direct
0.000 0.000 0.500
0.000 0.500 0.000
0.500 0.000 0.000
0.500 0.500 0.500
0.000 0.310 0.310
0.000 0.690 0.690
0.310 0.000 0.310
0.310 0.310 0.000
0.690 0.000 0.690
0.690 0.690 0.000
0.000 0.000 0.000
0.250 0.500 0.750
0.250 0.750 0.500
0.500 0.250 0.750
0.500 0.750 0.250
0.750 0.250 0.500
0.750 0.500 0.250
```

Computed properties:
Final energy in eV per cell: -133.32
DFT formation energy in eV/atom: -0.52



(3)
The following is a GGA-PBE calculation of an optimized crystal structure of TiAsRu, from the Alexandria database.

The structure in POSCAR format:
```
TiAsRu
1.0
-1.418 1.418 6.644
1.418 -1.418 6.644
1.418 1.418 -6.644
Ti As Ru
1 1 1
Direct
0.000 0.000 0.000
0.364 0.364 0.000
0.165 0.165 0.000
```

Computed properties:
Final energy in eV per cell: -20.82
DFT formation energy in eV/atom: 0.33



(4)
The following is a GGA-PBE calculation of an optimized crystal structure of TiAsRu3, from the Alexandria database.

The structure in POSCAR format:
```
TiAsRu3
1.0
4.460 0.000 0.000
0.000 4.460 0.000
0.000 0.000 4.460
Ti As Ru
1 1 3
Direct
0.000 0.000 0.000
0.500 0.500 0.500
0.000 0.500 0.500
0.500 0.000 0.500
0.500 0.500 0.000
```

Computed properties:
Final energy in eV per cell: -37.30
DFT formation energy in eV/atom: 0.62
Polymorph energy (0 for the lowest one) in kcal/mol of atoms: 0.00



(5)
The following is a GGA-PBE calculation of an optimized crystal structure of TiAsRu2, from the Alexandria database.

The structure in POSCAR format:
```
TiAsRu2
1.0
4.193 0.000 0.000
0.000 4.193 0.000
0.000 0.000 3.278
Ti As Ru
1 1 2
Direct
0.000 0.000 0.000
0.500 0.500 0.000
0.000 0.500 0.500
0.500 0.000 0.500
```

Computed properties:
Final energy in eV per cell: -32.91
DFT formation energy in eV/atom: -0.45



(6)
The following is a GGA-PBE calculation of an optimized crystal structure of TiAs2Ru, from the Alexandria database.

The structure in POSCAR format:
```
TiAs2Ru
1.0
-2.003 2.003 8.556
2.003 -2.003 8.556
2.003 2.003 -8.556
Ti As Ru
2 4 2
Direct
0.000 0.000 0.000
0.750 0.250 0.500
0.141 0.625 0.016
0.375 0.391 0.516
0.609 0.125 0.984
0.875 0.859 0.484
0.250 0.750 0.500
0.500 0.500 0.000
```

Computed properties:
Final energy in eV per cell: -53.84
DFT formation energy in eV/atom: -0.11
Polymorph energy (0 for the lowest one) in kcal/mol of atoms: 5.26



(7)
The following is a GGA-PBE calculation of an optimized crystal structure of Ti2As2Ru, from the Alexandria database.

The structure in POSCAR format:
```
Ti2As2Ru
1.0
6.589 0.000 0.000
0.000 6.589 0.000
0.000 0.000 3.606
Ti As Ru
4 4 2
Direct
0.154 0.346 0.000
0.346 0.846 0.000
0.654 0.154 0.000
0.846 0.654 0.000
0.149 0.649 0.500
0.351 0.149 0.500
0.649 0.851 0.500
0.851 0.351 0.500
0.000 0.000 0.500
0.500 0.500 0.500
```

Computed properties:
Final energy in eV per cell: -74.60
DFT formation energy in eV/atom: -0.59



(8)
The following is a GGA-PBE calculation of an optimized crystal structure of TiAsRu, from the Alexandria database.

The structure in POSCAR format:
```
TiAsRu
1.0
-3.683 5.631 3.272
3.683 -5.631 3.272
3.683 5.631 -3.272
Ti As Ru
6 6 6
Direct
0.001 0.250 0.251
0.142 0.110 0.531
0.181 0.625 0.056
0.569 0.125 0.944
0.579 0.610 0.469
0.999 0.750 0.749
0.246 0.076 0.164
0.246 0.582 0.670
0.550 0.336 0.715
0.621 0.836 0.285
0.912 0.082 0.836
0.912 0.576 0.330
0.331 0.331 0.000
0.331 0.831 0.500
0.580 0.164 0.335
0.580 0.745 0.916
0.829 0.245 0.665
0.829 0.664 0.084
```

Computed properties:
Final energy in eV per cell: -143.86
DFT formation energy in eV/atom: -0.72



(9)
The following is a GGA-PBE calculation of an optimized crystal structure of TiAs2Ru, from the Alexandria database.

The structure in POSCAR format:
```
TiAs2Ru
1.0
1.918 1.108 5.203
-1.918 1.108 5.203
0.000 -2.215 5.203
Ti As Ru
1 2 1
Direct
0.000 0.000 0.000
0.243 0.243 0.243
0.757 0.757 0.757
0.500 0.500 0.500
```

Computed properties:
Final energy in eV per cell: -27.83
DFT formation energy in eV/atom: -0.34
Polymorph energy (0 for the lowest one) in kcal/mol of atoms: 0.00



(10)
The following is a GGA-PBE calculation of an optimized crystal structure of TiAsRu2W, from the Alexandria database.

The structure in POSCAR format:
```
TiAsRu2W
1.0
4.671 0.000 0.000
0.000 4.671 0.000
0.000 0.000 4.736
Ti As Ru W
1 1 2 1
Direct
0.000 0.000 0.000
0.500 0.500 0.000
0.000 0.500 0.500
0.500 0.000 0.500
0.500 0.500 0.500
```

Computed properties:
Final energy in eV per cell: -38.06
DFT formation energy in eV/atom: 1.20



(11)
The following is a GGA-PBE calculation of an optimized crystal structure of Tl2AsRu, from the Alexandria database.

The structure in POSCAR format:
```
Tl2AsRu
1.0
3.179 0.000 0.000
0.000 3.179 0.000
0.000 0.000 8.840
Tl As Ru
2 1 1
Direct
0.000 0.000 0.000
0.500 0.500 0.332
0.000 0.000 0.620
0.500 0.500 0.752
```

Computed properties:
Final energy in eV per cell: -18.46
DFT formation energy in eV/atom: 0.05
Polymorph energy (0 for the lowest one) in kcal/mol of atoms: 0.00



(12)
The following is a GGA-PBE calculation of an optimized crystal structure of Tl2AsRu, from the Alexandria database.

The structure in POSCAR format:
```
Tl2AsRu
1.0
1.697 0.980 9.281
-1.697 0.980 9.281
0.000 -1.960 9.281
Tl As Ru
2 1 1
Direct
0.000 0.000 0.000
0.230 0.230 0.230
0.767 0.767 0.767
0.485 0.485 0.485
```

Computed properties:
Final energy in eV per cell: -18.26
DFT formation energy in eV/atom: 0.10
Polymorph energy (0 for the lowest one) in kcal/mol of atoms: 1.15



Question: Which formula does entry 10 have?
Answer: TiAsRu2W